Entry from Alexandria via LeMat-Bulk: a relaxed structure of Al2VF8 (PBE with a Hubbard U).

Cell: 5.724 5.724 6.344 Å, 90.00 90.00 120.00°
Fractional positions:
1 Al 0.333 0.667 0.295
2 Al 0.667 0.333 0.705
3 V 0.000 0.000 0.000
4 F 0.174 0.348 0.192
5 F 0.174 0.826 0.192
6 F 0.333 0.667 0.558
7 F 0.348 0.174 0.808
8 F 0.652 0.826 0.192
9 F 0.667 0.333 0.442
10 F 0.826 0.174 0.808
11 F 0.826 0.652 0.808

Energy above the most stable polymorph in this dataset in meV/atom: 0
Space group: No. 164
E in eV/atom: -5.9405